Record 1
Density functional theory data (PBE-GGA) for a relaxed Tm6Rh2Se3S crystal.

Summary:
- Formation energy without anion corrections: -1448.5 meV per atom
- DOS(E_F): 0.511 states/eV/atom
- Electronic total energy: -6.125 eV per atom
- SG: C2/m

abc: 6.8517 6.8517 7.1919
angles: 99.23 99.23 120.09
Closest atoms and distances in Å follow each position.
Fractional coordinates of all 12 atoms:
Se: 0.8381 0.1619 0.5000  6 Tm 2.93-2.98
Se: 0.1619 0.8381 0.5000  6 Tm 2.93-2.98
Se: 0.5000 0.5000 0.5000  6 Tm 2.89-2.98
Tm: 0.7314 0.7314 0.2267  2 Rh 2.73, 1 S 2.82, 3 Se 2.89-2.94
Tm: 0.9258 0.5819 0.7740  2 Rh 2.71-2.73, 1 S 2.81, 3 Se 2.93-2.98
Tm: 0.5819 0.9258 0.7740  2 Rh 2.71-2.73, 1 S 2.81, 3 Se 2.93-2.98
Tm: 0.4181 0.0742 0.2260  2 Rh 2.71-2.73, 1 S 2.81, 3 Se 2.93-2.98
Tm: 0.0742 0.4181 0.2260  2 Rh 2.71-2.73, 1 S 2.81, 3 Se 2.93-2.98
Tm: 0.2686 0.2686 0.7733  2 Rh 2.73, 1 S 2.82, 3 Se 2.89-2.94
Rh: 0.3326 0.6674 0.0000  6 Tm 2.71-2.73
Rh: 0.6674 0.3326 0.0000  6 Tm 2.71-2.73
S: 0.0000 0.0000 0.0000  6 Tm 2.81-2.82

---

Record 2
Density functional theory data (PBE-GGA) for a relaxed U2RhSeS4 crystal.

Summary:
- Formation energy without anion corrections: -1042.7 meV per atom
- DOS(E_F): 1.425 states/eV/atom
- Electronic total energy: -7.283 eV per atom
- SG: C2/m

abc: 3.7671 5.7558 8.5134
angles: 76.49 77.22 70.90
Closest atoms and distances in Å follow each position.
Fractional coordinates of all 8 atoms:
S: 0.6182 0.7052 0.0584  2 Rh 2.47, 3 U 2.74-2.75
S: 0.3818 0.2948 0.9416  2 Rh 2.47, 3 U 2.74-2.75
S: 0.8315 0.0548 0.2823  1 Rh 2.41
S: 0.1685 0.9452 0.7177  1 Rh 2.41
Rh: 0.0000 0.0000 0.0000  6 S 2.41-2.47
U: 0.1658 0.4211 0.2473  5 S 2.72-2.75, 2 Se 2.91
U: 0.8342 0.5789 0.7527  5 S 2.72-2.75, 2 Se 2.91
Se: 0.5000 0.5000 0.5000  4 U 2.91

---

Record 3
Density functional theory data (PBE-GGA) for a relaxed V2RhSeS crystal.

Summary:
- Formation energy without anion corrections: 119.8 meV per atom
- DOS(E_F): 1.199 states/eV/atom
- Electronic total energy: -6.520 eV per atom
- SG: P4/mmm

abc: 4.4294 4.3703 4.4294
angles: 90.00 90.00 90.00
Closest atoms and distances in Å follow each position.
Fractional coordinates of all 5 atoms:
Rh: 0.0000 0.5000 0.0000  2 S 2.19
Se: 0.5000 0.5000 0.5000  8 V 3.11, 4 Rh 3.13
V: 0.0000 0.0000 0.5000  2 S 2.21
V: 0.5000 0.0000 0.0000  2 S 2.21
S: 0.0000 0.0000 0.0000  2 Rh 2.19, 4 V 2.21

---

Record 4
Density functional theory data (PBE-GGA) for a relaxed Y6RhSe3S2 crystal.

Summary:
- Formation energy without anion corrections: -1687.0 meV per atom
- DOS(E_F): 0.457 states/eV/atom
- Electronic total energy: -7.091 eV per atom
- SG: C2/m

abc: 3.9768 8.1781 9.0995
angles: 103.47 102.62 90.00
Closest atoms and distances in Å follow each position.
Fractional coordinates of all 12 atoms:
Y: 0.3296 0.4282 0.6592  3 S 2.76-2.78, 3 Se 2.90-2.94
Y: 0.6704 0.5718 0.3408  3 S 2.76-2.78, 3 Se 2.90-2.94
Y: 0.0029 0.2335 0.0058  2 Rh 2.75, 1 S 2.86, 3 Se 2.96-2.98
Y: 0.3374 0.9073 0.6748  2 S 2.80, 1 Rh 2.81, 3 Se 2.90-2.95
Y: 0.9971 0.7665 0.9942  2 Rh 2.75, 1 S 2.86, 3 Se 2.96-2.98
Y: 0.6626 0.0927 0.3252  2 S 2.80, 1 Rh 2.81, 3 Se 2.90-2.95
S: 0.8314 0.6640 0.6629  6 Y 2.76-2.86
S: 0.1686 0.3360 0.3371  6 Y 2.76-2.86
Se: 0.8305 0.1698 0.6609  6 Y 2.90-2.98
Se: 0.5000 0.5000 0.0000  6 Y 2.94-2.96
Se: 0.1695 0.8302 0.3391  6 Y 2.90-2.98
Rh: 0.5000 0.0000 0.0000  6 Y 2.75-2.81

---

Record 5
Density functional theory data (PBE-GGA) for a relaxed ZnRhSeS2 crystal.

Summary:
- Formation energy without anion corrections: 890.1 meV per atom
- DOS(E_F): 1.265 states/eV/atom
- Electronic total energy: -3.183 eV per atom
- SG: P4/mmm

abc: 4.5354 4.9260 4.5354
angles: 90.00 90.00 90.00
Closest atoms and distances in Å follow each position.
Fractional coordinates of all 5 atoms:
S: 0.5000 0.0000 0.0000  2 Zn 2.27
S: 0.0000 0.0000 0.5000  2 Zn 2.27
Se: 0.0000 0.5000 0.0000  2 Zn 2.46
Rh: 0.5000 0.5000 0.5000  4 Se 3.21, 8 S 3.35
Zn: 0.0000 0.0000 0.0000  4 S 2.27, 2 Se 2.46

---

Record 6
Density functional theory data (PBE-GGA) for a relaxed SiRh3S crystal.

Summary:
- Formation energy without anion corrections: 361.4 meV per atom
- DOS(E_F): 1.769 states/eV/atom
- Energy relative to the lowest polymorph listed for this composition: 0.000 eV per atom
- Electronic total energy: -5.960 eV per atom
- SG: Pm-3m

abc: 4.3811 4.3811 4.3811
angles: 90.00 90.00 90.00
Closest atoms and distances in Å follow each position.
Fractional coordinates of all 5 atoms:
Rh: 0.0000 0.5000 0.0000  2 S 2.19
Rh: 0.5000 0.0000 0.0000  2 S 2.19
Rh: 0.0000 0.0000 0.5000  2 S 2.19
S: 0.0000 0.0000 0.0000  6 Rh 2.19
Si: 0.5000 0.5000 0.5000  12 Rh 3.10

---

Record 7
Density functional theory data (PBE-GGA) for a relaxed ZrSiRh2S crystal.

Summary:
- Formation energy without anion corrections: 745.3 meV per atom
- DOS(E_F): 0.328 states/eV/atom
- Electronic total energy: -5.815 eV per atom
- SG: P4/mmm

abc: 4.8393 4.8505 4.8393
angles: 90.00 90.00 90.00
Closest atoms and distances in Å follow each position.
Fractional coordinates of all 5 atoms:
Rh: 0.5000 0.0000 0.0000  2 Zr 2.42
Rh: 0.0000 0.0000 0.5000  2 Zr 2.42
S: 0.0000 0.5000 0.0000  2 Zr 2.43
Zr: 0.0000 0.0000 0.0000  4 Rh 2.42, 2 S 2.43
Si: 0.5000 0.5000 0.5000  4 S 3.42, 8 Rh 3.43

---

Record 8
Density functional theory data (PBE-GGA) for a relaxed SmRhS crystal.

Summary:
- Formation energy without anion corrections: -910.4 meV per atom
- DOS(E_F): 0.737 states/eV/atom
- Electronic total energy: -6.310 eV per atom
- SG: Cmmm

abc: 3.7982 5.9038 5.9038
angles: 102.16 90.00 90.00
Closest atoms and distances in Å follow each position.
Fractional coordinates of all 6 atoms:
S: 0.0000 0.0000 0.0000  2 Rh 2.35
S: 0.5000 0.5000 0.5000  4 Rh 2.33
Rh: 0.0000 0.3172 0.3172  3 S 2.33-2.35
Rh: 0.0000 0.6828 0.6828  3 S 2.33-2.35
Sm: 0.5000 0.7869 0.2131  3 S 2.64-2.73
Sm: 0.5000 0.2131 0.7869  3 S 2.64-2.73